(1)
VASP calculation (PBE-GGA) on KThPb2 after structural relaxation.

Computed properties:
N(E_F) (states/eV per atom): 0.74
Space group: R-3m, No. 166
Calculated formation energy (eV per formula unit): -0.5
Density (Mg/m³): 8.7
Energy above the lowest structure with this stoichiometry (eV/f.u.): 0.42

a b c (Å): 3.6078 3.6078 34.8996
angles (deg): 90.00 90.00 120.00
Closest atoms and distances in Å follow each position.
Sites, in units of the cell vectors:
K 0.0000 0.0000 0.0000  6 K 3.61, 6 Pb 3.66
K 0.3333 0.6667 0.6667  6 K 3.61, 6 Pb 3.66
K 0.6667 0.3333 0.3333  6 K 3.61, 6 Pb 3.66
Th 0.0000 0.0000 0.5000  6 Pb 3.50, 6 Th 3.61
Th 0.3333 0.6667 0.1667  6 Pb 3.50, 6 Th 3.61
Th 0.6667 0.3333 0.8333  6 Pb 3.50, 6 Th 3.61
Pb 0.0000 0.0000 0.2472  3 Th 3.50, 6 Pb 3.61, 3 K 3.66
Pb 0.0000 0.0000 0.7528  3 Th 3.50, 6 Pb 3.61, 3 K 3.66
Pb 0.3333 0.6667 0.4195  3 Th 3.50, 6 Pb 3.61, 3 K 3.66
Pb 0.3333 0.6667 0.9138  3 Th 3.50, 6 Pb 3.61, 3 K 3.66
Pb 0.6667 0.3333 0.0862  3 Th 3.50, 6 Pb 3.61, 3 K 3.66
Pb 0.6667 0.3333 0.5805  3 Th 3.50, 6 Pb 3.61, 3 K 3.66

(2)
VASP calculation (PBE-GGA) on K2TiPb after structural relaxation.

Computed properties:
N(E_F) (states/eV per atom): 0.01
Space group: I-42d, No. 122
Calculated formation energy (eV per formula unit): 2.2
Density (Mg/m³): 2.4

a b c (Å): 12.8627 12.8627 5.4982
angles (deg): 90.00 90.00 90.00
Closest atoms and distances in Å follow each position.
Sites, in units of the cell vectors:
K 0.0938 0.7500 0.1250  2 Pb 3.50
K 0.2500 0.0938 0.8750  2 Pb 3.50
K 0.2500 0.4062 0.3750  2 Pb 3.50
K 0.4062 0.7500 0.6250  2 Pb 3.50
K 0.5938 0.2500 0.6250  2 Pb 3.50
K 0.7500 0.5938 0.3750  2 Pb 3.50
K 0.7500 0.9062 0.8750  2 Pb 3.50
K 0.9062 0.2500 0.1250  2 Pb 3.50
Ti 0.0000 0.0000 0.5000  2 Pb 2.75
Ti 0.0000 0.5000 0.7500  2 Pb 2.75
Ti 0.5000 0.0000 0.2500  2 Pb 2.75
Ti 0.5000 0.5000 0.0000  2 Pb 2.75
Pb 0.0000 0.0000 0.0000  2 Ti 2.75
Pb 0.0000 0.5000 0.2500  2 Ti 2.75
Pb 0.5000 0.0000 0.7500  2 Ti 2.75
Pb 0.5000 0.5000 0.5000  2 Ti 2.75

(3)
VASP calculation (PBE-GGA) on K3TiPb after structural relaxation.

Computed properties:
N(E_F) (states/eV per atom): 1.59
Space group: Pm-3m, No. 221
Calculated formation energy (eV per formula unit): 5.1
Density (Mg/m³): 2.3
Energy above the lowest structure with this stoichiometry (eV/f.u.): 0.00

a b c (Å): 6.4726 6.4726 6.4726
angles (deg): 90.00 90.00 90.00
Closest atoms and distances in Å follow each position.
Sites, in units of the cell vectors:
K 0.0000 0.0000 0.5000  2 Ti 3.24
K 0.0000 0.5000 0.0000  2 Ti 3.24
K 0.5000 0.0000 0.0000  2 Ti 3.24
Ti 0.0000 0.0000 0.0000  6 K 3.24
Pb 0.5000 0.5000 0.5000  12 K 4.58

(4)
VASP calculation (PBE-GGA) on KTiTlPb2 after structural relaxation.

Computed properties:
N(E_F) (states/eV per atom): 0.68
Space group: P4/mmm, No. 123
Calculated formation energy (eV per formula unit): 0.1
Density (Mg/m³): 7.0

a b c (Å): 5.4735 5.4735 5.5688
angles (deg): 90.00 90.00 90.00
Closest atoms and distances in Å follow each position.
Sites, in units of the cell vectors:
K 0.0000 0.0000 0.0000  4 Tl 3.87, 8 Pb 3.90
Ti 0.5000 0.5000 0.5000  4 Pb 2.74, 2 Tl 2.78
Tl 0.5000 0.5000 0.0000  2 Ti 2.78
Pb 0.0000 0.5000 0.5000  2 Ti 2.74
Pb 0.5000 0.0000 0.5000  2 Ti 2.74

(5)
VASP calculation (PBE-GGA) on KTiPb2W after structural relaxation.

Computed properties:
N(E_F) (states/eV per atom): 0.82
Space group: P4/mmm, No. 123
Calculated formation energy (eV per formula unit): 3.1
Density (Mg/m³): 7.6

a b c (Å): 5.5143 5.5143 4.9076
angles (deg): 90.00 90.00 90.00
Closest atoms and distances in Å follow each position.
Sites, in units of the cell vectors:
K 0.0000 0.0000 0.0000  8 Pb 3.69, 4 Ti 3.90
Ti 0.5000 0.5000 0.0000  2 W 2.45
Pb 0.0000 0.5000 0.5000  2 W 2.76
Pb 0.5000 0.0000 0.5000  2 W 2.76
W 0.5000 0.5000 0.5000  2 Ti 2.45

(6)
VASP calculation (PBE-GGA) on KY2TiPb after structural relaxation.

Computed properties:
N(E_F) (states/eV per atom): 2.08
Space group: P4/mmm, No. 123
Calculated formation energy (eV per formula unit): 4.9
Density (Mg/m³): 3.7

a b c (Å): 5.8531 5.8531 6.1735
angles (deg): 90.00 90.00 90.00
Closest atoms and distances in Å follow each position.
Sites, in units of the cell vectors:
K 0.0000 0.0000 0.0000  2 Pb 3.09
Y 0.0000 0.5000 0.5000  2 Pb 2.93
Y 0.5000 0.0000 0.5000  2 Pb 2.93
Ti 0.5000 0.5000 0.0000  4 K 4.14, 8 Y 4.25
Pb 0.0000 0.0000 0.5000  4 Y 2.93, 2 K 3.09

(7)
VASP calculation (PBE-GGA) on KTl2Pb after structural relaxation.

Computed properties:
N(E_F) (states/eV per atom): 0.37
Space group: R3m, No. 160
Calculated formation energy (eV per formula unit): -0.1
Density (Mg/m³): 6.9

a b c (Å): 4.6556 4.6556 25.0268
angles (deg): 90.00 90.00 120.00
Closest atoms and distances in Å follow each position.
Sites, in units of the cell vectors:
K 0.0000 0.0000 0.0000  6 Tl 3.62-3.68
K 0.3333 0.6667 0.6667  6 Tl 3.62-3.68
K 0.6667 0.3333 0.3333  6 Tl 3.62-3.68
Tl 0.0000 0.0000 0.4337  3 Pb 3.19, 1 Tl 3.41
Tl 0.0000 0.0000 0.5698  3 Pb 3.17, 1 Tl 3.41
Tl 0.3333 0.6667 0.1004  3 Pb 3.19, 1 Tl 3.41
Tl 0.3333 0.6667 0.2365  3 Pb 3.17, 1 Tl 3.41
Tl 0.6667 0.3333 0.7670  3 Pb 3.19, 1 Tl 3.41
Tl 0.6667 0.3333 0.9032  3 Pb 3.17, 1 Tl 3.41
Pb 0.0000 0.0000 0.1693  6 Tl 3.17-3.19
Pb 0.3333 0.6667 0.8360  6 Tl 3.17-3.19
Pb 0.6667 0.3333 0.5027  6 Tl 3.17-3.19

(8)
VASP calculation (PBE-GGA) on KTl4Pb after structural relaxation.

Computed properties:
N(E_F) (states/eV per atom): 0.31
Space group: F-43m, No. 216
Calculated formation energy (eV per formula unit): -0.1
Density (Mg/m³): 8.9
Energy above the lowest structure with this stoichiometry (eV/f.u.): 0.16

a b c (Å): 6.5594 6.5594 6.5594
angles (deg): 60.00 60.00 60.00
Closest atoms and distances in Å follow each position.
Sites, in units of the cell vectors:
K 0.0000 0.0000 0.0000  12 Tl 3.85, 4 Pb 4.02
Tl 0.1275 0.6242 0.6242  6 Tl 3.26-3.30
Tl 0.6242 0.1275 0.6242  6 Tl 3.26-3.30
Tl 0.6242 0.6242 0.1275  6 Tl 3.26-3.30
Tl 0.6242 0.6242 0.6242  6 Tl 3.26-3.30
Pb 0.2500 0.2500 0.2500  12 Tl 3.84, 4 K 4.02

(9)
VASP calculation (PBE-GGA) on K2TlPb after structural relaxation.

Computed properties:
N(E_F) (states/eV per atom): 0.58
Space group: I-4m2, No. 119
Calculated formation energy (eV per formula unit): -0.4
Density (Mg/m³): 5.8
Energy above the lowest structure with this stoichiometry (eV/f.u.): 0.10

a b c (Å): 5.8055 5.8055 8.3588
angles (deg): 90.00 90.00 90.00
Closest atoms and distances in Å follow each position.
Sites, in units of the cell vectors:
K 0.0000 0.0000 0.0000  4 Pb 3.58, 4 K 3.58
K 0.0000 0.5000 0.2500  4 Tl 3.58, 4 K 3.58
K 0.5000 0.0000 0.7500  4 Tl 3.58, 4 K 3.58
K 0.5000 0.5000 0.5000  4 Pb 3.58, 4 K 3.58
Tl 0.0000 0.0000 0.5000  4 Pb 3.58, 4 K 3.58
Tl 0.5000 0.5000 0.0000  4 Pb 3.58, 4 K 3.58
Pb 0.0000 0.5000 0.7500  4 Tl 3.58, 4 K 3.58
Pb 0.5000 0.0000 0.2500  4 Tl 3.58, 4 K 3.58

(10)
VASP calculation (PBE-GGA) on KTlPb after structural relaxation.

Computed properties:
N(E_F) (states/eV per atom): 0.57
Space group: Immm, No. 71
Calculated formation energy (eV per formula unit): -0.4
Density (Mg/m³): 6.4
Energy above the lowest structure with this stoichiometry (eV/f.u.): 0.14

a b c (Å): 4.5813 7.6694 13.2165
angles (deg): 90.00 90.00 90.00
Closest atoms and distances in Å follow each position.
Sites, in units of the cell vectors:
K 0.0000 0.0000 0.1679  4 Pb 3.66-3.89, 4 Tl 3.78
K 0.0000 0.0000 0.8321  4 Pb 3.66-3.89, 4 Tl 3.78
K 0.5000 0.5000 0.3321  4 Pb 3.66-3.89, 4 Tl 3.78
K 0.5000 0.5000 0.6679  4 Pb 3.66-3.89, 4 Tl 3.78
Tl 0.0000 0.2350 0.5000  4 Pb 3.30, 1 Tl 3.61
Tl 0.0000 0.7650 0.5000  4 Pb 3.30, 1 Tl 3.61
Tl 0.5000 0.2650 0.0000  4 Pb 3.30, 1 Tl 3.61
Tl 0.5000 0.7350 0.0000  4 Pb 3.30, 1 Tl 3.61
Pb 0.0000 0.5000 0.1163  1 Pb 3.07, 4 Tl 3.30
Pb 0.0000 0.5000 0.8837  1 Pb 3.07, 4 Tl 3.30
Pb 0.5000 0.0000 0.3837  1 Pb 3.07, 4 Tl 3.30
Pb 0.5000 0.0000 0.6163  1 Pb 3.07, 4 Tl 3.30

(11)
VASP calculation (PBE-GGA) on KTlPb after structural relaxation.

Computed properties:
N(E_F) (states/eV per atom): 0.51
Space group: Cmcm, No. 63
Calculated formation energy (eV per formula unit): -0.3
Density (Mg/m³): 6.7
Energy above the lowest structure with this stoichiometry (eV/f.u.): 0.19

a b c (Å): 5.0247 13.0326 6.7847
angles (deg): 90.00 90.00 90.00
Closest atoms and distances in Å follow each position.
Sites, in units of the cell vectors:
K 0.0000 0.1977 0.2500  5 Tl 3.61-3.91, 4 Pb 3.98
K 0.0000 0.8023 0.7500  5 Tl 3.61-3.91, 4 Pb 3.98
K 0.5000 0.3023 0.7500  5 Tl 3.61-3.91, 4 Pb 3.98
K 0.5000 0.6977 0.2500  5 Tl 3.61-3.91, 4 Pb 3.98
Tl 0.0000 0.1021 0.7500  4 Pb 3.31, 4 K 3.61-3.62
Tl 0.0000 0.8979 0.2500  4 Pb 3.31, 4 K 3.61-3.62
Tl 0.5000 0.3979 0.2500  4 Pb 3.31, 4 K 3.61-3.62
Tl 0.5000 0.6021 0.7500  4 Pb 3.31, 4 K 3.61-3.62
Pb 0.0000 0.5000 0.0000  4 Tl 3.31, 2 Pb 3.39
Pb 0.0000 0.5000 0.5000  4 Tl 3.31, 2 Pb 3.39
Pb 0.5000 0.0000 0.0000  4 Tl 3.31, 2 Pb 3.39
Pb 0.5000 0.0000 0.5000  4 Tl 3.31, 2 Pb 3.39

(12)
VASP calculation (PBE-GGA) on K2Tl2Pb after structural relaxation.

Computed properties:
N(E_F) (states/eV per atom): 0.36
Space group: P4/mbm, No. 127
Calculated formation energy (eV per formula unit): 0.5
Density (Mg/m³): 6.2
Energy above the lowest structure with this stoichiometry (eV/f.u.): 1.12

a b c (Å): 10.3427 10.3427 3.4913
angles (deg): 90.00 90.00 90.00
Closest atoms and distances in Å follow each position.
Sites, in units of the cell vectors:
K 0.1810 0.3190 0.0000  6 Tl 3.45-3.59, 2 K 3.49, 2 Pb 3.79
K 0.3190 0.8190 0.0000  6 Tl 3.45-3.59, 2 K 3.49, 2 Pb 3.79
K 0.6810 0.1810 0.0000  6 Tl 3.45-3.59, 2 K 3.49, 2 Pb 3.79
K 0.8190 0.6810 0.0000  6 Tl 3.45-3.59, 2 K 3.49, 2 Pb 3.79
Tl 0.1156 0.6156 0.5000  3 Tl 3.38-3.49, 6 K 3.45-3.59
Tl 0.3844 0.1156 0.5000  3 Tl 3.38-3.49, 6 K 3.45-3.59
Tl 0.6156 0.8844 0.5000  3 Tl 3.38-3.49, 6 K 3.45-3.59
Tl 0.8844 0.3844 0.5000  3 Tl 3.38-3.49, 6 K 3.45-3.59
Pb 0.0000 0.0000 0.0000  2 Pb 3.49, 4 K 3.79
Pb 0.5000 0.5000 0.0000  2 Pb 3.49, 4 K 3.79

(13)
VASP calculation (PBE-GGA) on KTlPb after structural relaxation.

Computed properties:
N(E_F) (states/eV per atom): 0.20
Space group: Pmm2, No. 25
Calculated formation energy (eV per formula unit): -0.5
Density (Mg/m³): 6.7
Energy above the lowest structure with this stoichiometry (eV/f.u.): 0.05

a b c (Å): 4.9603 5.1879 8.7462
angles (deg): 90.00 90.00 90.00
Closest atoms and distances in Å follow each position.
Sites, in units of the cell vectors:
K 0.0000 0.0000 0.0000  6 Tl 3.68-3.91, 3 Pb 3.80-3.84
K 0.5000 0.5000 0.3351  6 Pb 3.70-3.92, 3 Tl 3.74-3.80
Tl 0.0000 0.5000 0.6649  2 Tl 3.26, 6 Pb 3.26-3.59
Tl 0.5000 0.5000 0.9072  2 Tl 3.26, 2 Pb 3.32
Pb 0.0000 0.0000 0.4385  2 Pb 3.20, 2 Tl 3.26
Pb 0.5000 0.0000 0.6704  2 Pb 3.20, 2 Tl 3.32